(1)
Al2SbTe6: relaxed, PBE.

* SG: No. 15
* energy relative to the elements, uncorrected: -1.37 eV/f.u.
* total magnetic moment: 0.0 μB/cell
* crystal system: monoclinic

Geometry as POSCAR:
```
Al2SbTe6
1.0
-0.167 -2.325 7.342
-4.147 -8.187 -0.621
7.948 -4.559 0.803
Al Sb Te
4 2 12
Cartesian
3.617 -8.839 1.555
2.183 -4.445 2.543
0.017 -6.232 5.969
1.451 -10.626 4.981
6.747 -5.488 2.502
-3.113 -9.583 5.022
1.319 -8.752 3.017
0.676 -5.674 0.634
2.316 -6.319 4.507
2.959 -9.398 6.891
-0.920 -11.485 5.645
-2.233 -6.759 4.761
4.554 -3.586 1.879
5.867 -8.312 2.764
4.495 -11.286 1.454
1.544 -1.926 2.673
-0.860 -3.785 6.070
2.090 -13.145 4.852
```

***

(2)
Al4SbTe: relaxed, PBE.

* SG: No. 216
* energy relative to the elements, uncorrected: 1.33 eV/f.u.
* total magnetic moment: 0.0 μB/cell
* crystal system: cubic

Geometry as POSCAR:
```
Al4SbTe
1.0
-1.933 -3.654 -3.821
-3.825 1.648 -3.788
1.453 0.552 -5.411
Al Sb Te
4 1 1
Cartesian
-2.581 -2.371 -6.792
-0.889 -0.270 -7.586
-3.525 0.277 -6.776
-1.615 -0.546 -4.884
-3.229 -1.091 -9.764
0.000 0.000 0.000
```

***

(3)
AlSb3Te: relaxed, PBE.

* SG: No. 221
* distance to the lowest polymorph of the same formula: 2.26 eV/f.u.
* energy relative to the elements, uncorrected: 4.78 eV/f.u.
* total magnetic moment: 0.0 μB/cell
* crystal system: cubic

Geometry as POSCAR:
```
AlSb3Te
1.0
-4.657 -3.321 -0.543
0.356 -1.409 5.558
-3.346 4.472 1.348
Sb Te Al
3 1 1
Cartesian
0.178 -0.704 2.779
-1.673 2.236 0.674
-2.328 -1.660 -0.272
0.000 0.000 0.000
-3.823 -0.129 3.181
```

***

(4)
Al2Sb2Te: relaxed, PBE.

* SG: No. 139
* distance to the lowest polymorph of the same formula: 0.00 eV/f.u.
* energy relative to the elements, uncorrected: 0.56 eV/f.u.
* total magnetic moment: 0.0 μB/cell
* crystal system: tetragonal

Geometry as POSCAR:
```
Al2Sb2Te
1.0
4.059 0.000 0.000
0.000 4.059 0.000
2.029 2.029 7.834
Sb Te Al
2 1 2
Cartesian
2.029 2.029 1.916
4.059 4.059 5.917
0.000 0.000 0.000
4.059 2.029 3.917
2.029 4.059 3.917
```

***

(5)
Al3SbTe: relaxed, PBE.

* SG: No. 221
* distance to the lowest polymorph of the same formula: 0.00 eV/f.u.
* energy relative to the elements, uncorrected: 3.13 eV/f.u.
* total magnetic moment: 0.0 μB/cell
* crystal system: cubic

Geometry as POSCAR:
```
Al3SbTe
1.0
5.369 0.000 0.000
0.000 5.369 0.000
0.000 0.000 5.369
Sb Te Al
1 1 3
Cartesian
0.000 0.000 0.000
2.685 2.685 2.685
0.000 2.685 0.000
0.000 0.000 2.685
2.685 0.000 0.000
```

***

(6)
AlSbTe3: relaxed, PBE.

* SG: No. 221
* distance to the lowest polymorph of the same formula: 2.43 eV/f.u.
* energy relative to the elements, uncorrected: 1.42 eV/f.u.
* total magnetic moment: 0.0 μB/cell
* crystal system: cubic

Geometry as POSCAR:
```
AlSbTe3
1.0
-2.543 0.196 -4.655
-0.695 -5.260 0.158
-4.607 0.686 2.545
Sb Te Al
1 3 1
Cartesian
-3.923 -2.189 -0.976
-0.348 -2.630 0.079
-2.304 0.343 1.273
-1.271 0.098 -2.328
0.000 0.000 0.000
```

***

(7)
Al2Sb2Te: relaxed, PBE.

* SG: No. 127
* distance to the lowest polymorph of the same formula: 0.33 eV/f.u.
* energy relative to the elements, uncorrected: 0.89 eV/f.u.
* total magnetic moment: 0.0 μB/cell
* crystal system: tetragonal

Geometry as POSCAR:
```
Al2Sb2Te
1.0
-6.860 -4.080 0.735
4.114 -6.526 2.174
-0.233 1.028 3.528
Sb Te Al
4 2 4
Cartesian
1.528 -4.339 3.288
-1.078 -7.684 4.090
-4.507 -5.237 3.150
-1.901 -1.892 2.348
0.000 0.000 0.000
-1.373 -5.303 1.455
1.080 -7.038 2.123
-3.222 -7.695 2.030
-3.825 -3.567 0.787
0.476 -2.911 0.880
```

***

(8)
AlSbTe3: relaxed, PBE.

* SG: No. 221
* distance to the lowest polymorph of the same formula: 3.74 eV/f.u.
* energy relative to the elements, uncorrected: 2.73 eV/f.u.
* total magnetic moment: 0.0 μB/cell
* crystal system: cubic

Geometry as POSCAR:
```
AlSbTe3
1.0
-3.332 2.108 -4.228
-4.719 -1.753 2.844
-0.245 5.090 2.731
Sb Te Al
1 3 1
Cartesian
0.000 0.000 0.000
-2.359 -0.877 1.422
-0.123 2.545 1.366
-1.666 1.054 -2.114
-4.148 2.722 0.673
```